Density functional theory data (PBE) for a geometry-optimized PuUNO structure.

a b c (Å): 3.3485 3.3485 6.3383
angles (deg): 103.28 103.28 59.84
With the nearest neighbours (Å) after each atom.
Element x y z (fractional)
1 Pu 0.0000 0.0000 0.0000  3 N 2.39-2.40, 3 O 2.51-2.58
2 U 0.7991 0.7991 0.4672  3 O 2.36-2.61, 3 N 2.40-2.41
3 N 0.3992 0.3992 0.2324  3 Pu 2.39-2.40, 3 U 2.40-2.41
4 O 0.5789 0.5789 0.7314  3 U 2.36-2.61, 3 Pu 2.51-2.58

Space-group type = Cm (8)
Formation energy without anion corrections = -1.63 eV per atom